(1)
Here is a geometry-optimized Na4B7C structure from the Alexandria database. Energies are from PBE.

Polymorph energy (0 for the lowest one) = 0.0 meV/atom
DFT formation energy = 21.43 kJ per mole of atoms
Calculated total energy = -4.88 eV/atom

Structure (POSCAR):
```
Na4B7C
1.0
8.760 0.000 0.000
0.000 2.744 0.000
0.000 0.000 10.951
Na B C
8 14 2
Direct
0.000 0.000 0.000
0.000 0.000 0.500
0.001 0.500 0.248
0.499 0.500 0.248
0.500 0.000 0.000
0.500 0.000 0.500
0.501 0.500 0.752
0.999 0.500 0.752
0.250 0.000 0.168
0.250 0.000 0.325
0.250 0.000 0.688
0.250 0.500 0.065
0.250 0.500 0.429
0.250 0.500 0.585
0.250 0.500 0.905
0.750 0.000 0.312
0.750 0.000 0.675
0.750 0.000 0.832
0.750 0.500 0.095
0.750 0.500 0.415
0.750 0.500 0.571
0.750 0.500 0.935
0.250 0.000 0.830
0.750 0.000 0.170
```



(2)
Here is a geometry-optimized Sr2Cu17 structure from the Alexandria database. Energies are from PBE.

DFT formation energy = -3.55 kJ per mole of atoms
Calculated total energy = -3.88 eV/atom

Structure (POSCAR):
```
Sr2Cu17
1.0
4.356 2.515 4.231
-4.356 2.515 4.231
0.000 -5.029 4.231
Sr Cu
2 17
Direct
0.157 0.157 0.157
0.843 0.843 0.843
0.000 0.500 0.500
0.161 0.161 0.650
0.161 0.649 0.161
0.213 0.500 0.787
0.213 0.787 0.500
0.350 0.839 0.839
0.404 0.404 0.404
0.500 0.000 0.500
0.500 0.213 0.787
0.500 0.500 0.000
0.500 0.787 0.213
0.596 0.596 0.596
0.649 0.161 0.161
0.787 0.213 0.500
0.787 0.500 0.213
0.839 0.350 0.839
0.839 0.839 0.351
```



(3)
Here is a geometry-optimized TbTcBC structure from the Alexandria database. Energies are from PBE.

DFT formation energy = -28.77 kJ per mole of atoms
Calculated total energy = -8.02 eV/atom

Structure (POSCAR):
```
TbTcBC
1.0
3.624 0.000 0.000
0.000 3.624 0.000
0.000 0.000 8.288
Tb Tc B C
2 2 2 2
Direct
0.250 0.250 0.157
0.750 0.750 0.843
0.250 0.750 0.500
0.750 0.250 0.500
0.250 0.250 0.684
0.750 0.750 0.316
0.250 0.250 0.863
0.750 0.750 0.137
```



(4)
Here is a geometry-optimized K2YP structure from the Alexandria database. Energies are from PBE.

DFT formation energy = -42.81 kJ per mole of atoms
Calculated total energy = -3.96 eV/atom

Structure (POSCAR):
```
K2YP
1.0
3.724 -2.148 0.000
3.724 2.148 0.000
-2.365 0.000 11.251
K Y P
2 1 1
Direct
0.000 0.000 0.000
0.202 0.202 0.619
0.776 0.776 0.328
0.474 0.474 0.425
```



(5)
Here is a geometry-optimized Er4Al12Tc structure from the Alexandria database. Energies are from PBE.

DFT formation energy = -41.80 kJ per mole of atoms
Calculated total energy = -4.76 eV/atom

Structure (POSCAR):
```
Er4Al12Tc
1.0
-4.317 4.317 4.317
4.317 -4.317 4.317
4.317 4.317 -4.317
Er Al Tc
4 12 1
Direct
0.000 0.000 0.500
0.000 0.500 0.000
0.500 0.000 0.000
0.500 0.500 0.500
0.000 0.288 0.288
0.000 0.712 0.712
0.250 0.500 0.750
0.250 0.750 0.500
0.288 0.000 0.288
0.288 0.288 0.000
0.500 0.250 0.750
0.500 0.750 0.250
0.712 0.000 0.712
0.712 0.712 0.000
0.750 0.250 0.500
0.750 0.500 0.250
0.000 0.000 0.000
```



(6)
Here is a geometry-optimized LiCu3S3 structure from the Alexandria database. Energies are from PBE.

Raw formation energy = -406 meV per atom
Calculated total energy = -4.20 eV/atom

Structure (POSCAR):
```
LiCu3S3
1.0
3.276 1.891 6.248
-3.276 1.891 6.248
0.000 -3.782 6.248
Li Cu S
2 6 6
Direct
0.166 0.166 0.166
0.834 0.834 0.834
0.050 0.379 0.709
0.291 0.950 0.621
0.379 0.709 0.050
0.621 0.291 0.950
0.709 0.050 0.379
0.950 0.621 0.291
0.078 0.751 0.416
0.249 0.584 0.922
0.416 0.078 0.751
0.584 0.922 0.249
0.751 0.416 0.078
0.922 0.249 0.584
```



(7)
Here is a geometry-optimized Zr4Ge6Ru7 structure from the Alexandria database. Energies are from PBE.

DFT formation energy = -60.47 kJ per mole of atoms
Calculated total energy = -8.09 eV/atom

Structure (POSCAR):
```
Zr4Ge6Ru7
1.0
-4.097 4.097 4.097
4.097 -4.097 4.097
4.097 4.097 -4.097
Zr Ge Ru
4 6 7
Direct
0.000 0.000 0.500
0.000 0.500 0.000
0.500 0.000 0.000
0.500 0.500 0.500
0.000 0.309 0.309
0.000 0.691 0.691
0.309 0.000 0.309
0.309 0.309 0.000
0.691 0.000 0.691
0.691 0.691 0.000
0.000 0.000 0.000
0.250 0.500 0.750
0.250 0.750 0.500
0.500 0.250 0.750
0.500 0.750 0.250
0.750 0.250 0.500
0.750 0.500 0.250
```



(8)
Here is a geometry-optimized Y2HfTlH structure from the Alexandria database. Energies are from PBE.

Calculated total energy = -5.90 eV/atom

Structure (POSCAR):
```
Y2HfTlH
1.0
4.772 0.000 0.000
0.000 4.772 0.000
0.000 0.000 4.595
Y Hf Tl H
2 1 1 1
Direct
0.000 0.500 0.000
0.500 0.000 0.000
0.000 0.000 0.500
0.500 0.500 0.500
0.000 0.000 0.000
```



(9)
Here is a geometry-optimized Pa2TiCo3As4 structure from the Alexandria database. Energies are from PBE.

DFT formation energy = -64.03 kJ per mole of atoms
Calculated total energy = -7.34 eV/atom

Structure (POSCAR):
```
Pa2TiCo3As4
1.0
4.110 0.000 0.000
0.000 4.110 0.000
0.000 0.000 9.763
Pa Ti Co As
2 1 3 4
Direct
0.000 0.500 0.240
0.500 0.000 0.760
0.000 0.000 0.500
0.000 0.500 0.888
0.500 0.000 0.112
0.500 0.500 0.500
0.000 0.000 0.000
0.000 0.500 0.650
0.500 0.000 0.350
0.500 0.500 0.000
```



(10)
Here is a geometry-optimized La2TbIr structure from the Alexandria database. Energies are from PBE.

Polymorph energy (0 for the lowest one) = 0.0 meV/atom
DFT formation energy = -47.80 kJ per mole of atoms
Calculated total energy = -6.33 eV/atom

Structure (POSCAR):
```
La2TbIr
1.0
7.371 0.000 0.000
0.000 10.097 0.000
0.000 0.000 6.468
La Tb Ir
8 4 4
Direct
0.175 0.067 0.174
0.175 0.433 0.174
0.325 0.567 0.674
0.325 0.933 0.674
0.675 0.067 0.326
0.675 0.433 0.326
0.825 0.567 0.826
0.825 0.933 0.826
0.038 0.250 0.657
0.462 0.750 0.157
0.538 0.250 0.843
0.962 0.750 0.343
0.124 0.750 0.943
0.376 0.250 0.443
0.624 0.750 0.557
0.876 0.250 0.057
```



(11)
Here is a geometry-optimized CaHo2TlN structure from the Alexandria database. Energies are from PBE.

Raw formation energy = -883 meV per atom
Calculated total energy = -5.25 eV/atom

Structure (POSCAR):
```
CaHo2TlN
1.0
4.809 0.000 0.000
0.000 4.809 0.000
0.000 0.000 4.868
Ca Ho Tl N
1 2 1 1
Direct
0.000 0.000 0.000
0.000 0.500 0.500
0.500 0.000 0.500
0.500 0.500 0.000
0.000 0.000 0.500
```



(12)
Here is a geometry-optimized CsTe4As structure from the Alexandria database. Energies are from PBE.

Raw formation energy = -250 meV per atom
Calculated total energy = -3.26 eV/atom

Structure (POSCAR):
```
CsTe4As
1.0
8.589 -3.920 0.000
8.589 3.920 0.000
-2.684 0.000 7.304
Cs Te As
2 8 2
Direct
0.214 0.214 0.177
0.786 0.786 0.823
0.091 0.730 0.464
0.258 0.742 0.000
0.270 0.909 0.536
0.279 0.279 0.734
0.721 0.721 0.266
0.730 0.091 0.464
0.742 0.258 0.000
0.909 0.270 0.536
0.436 0.436 0.749
0.564 0.564 0.251
```